First-principles (SCAN) data for a crystal of Sr9Cr5O18 relaxed with PBEsol, as listed in Alexandria via LeMat-Bulk.

```
64
Lattice="-4.647 1.798 1.950 2.037 -4.849 9.325 9.176 11.462 3.956" Properties=species:S:1:pos:R:3 pbc="T T T"
O 4.924 0.379 11.383
O 1.108 4.984 5.407
O 6.772 9.891 6.482
Cr 5.265 7.386 5.743
O 2.076 -0.480 5.432
Sr 4.910 7.534 12.037
O -0.291 -1.278 8.362
O 3.121 -2.915 10.083
Sr -3.623 -0.637 6.633
O 2.140 2.554 10.064
O 1.525 2.187 5.365
O 7.451 7.598 11.287
Sr 6.701 7.835 8.758
O 2.050 0.951 7.740
O -0.229 1.850 8.696
O 5.533 5.050 12.124
O 4.520 7.494 7.467
O 7.314 5.355 8.880
O 0.268 0.643 10.982
O 7.821 4.186 11.171
O 6.791 6.594 6.507
Sr -1.154 2.999 1.813
O 4.459 8.910 9.794
Sr 4.322 1.416 8.991
O 3.669 3.207 13.127
O -0.310 -3.730 9.781
Sr 3.855 9.973 7.390
Cr 2.999 1.170 6.077
O 1.074 -3.502 7.287
O -1.494 -1.241 5.187
Cr 6.287 4.960 10.404
O 2.650 5.631 8.465
O 5.022 6.231 9.828
O -0.764 3.054 6.312
Sr 3.302 3.841 4.329
O 6.286 7.772 4.207
O -1.254 4.260 4.036
Sr 2.237 7.011 6.210
O 2.538 -0.254 10.016
Sr -0.144 0.578 6.479
Cr -2.055 -0.353 3.741
Cr 3.554 7.262 9.123
Sr 5.692 10.257 4.092
O 4.421 5.869 5.144
Cr 4.023 -1.257 10.737
Sr 3.257 4.586 10.872
Sr 6.064 2.428 12.207
O 3.905 2.804 6.721
O -3.643 0.354 4.176
Sr 2.534 1.151 12.314
Cr -0.422 -3.016 8.146
O 5.504 6.475 14.445
Sr 5.042 4.853 7.545
Sr 0.003 -0.010 0.021
Sr 1.513 3.577 7.653
Sr 2.702 -1.540 7.801
Cr 4.578 4.835 13.783
O 1.035 3.391 3.076
O -0.970 1.015 3.557
O 4.010 8.664 5.177
Sr 1.647 0.899 3.154
Cr 1.293 1.042 9.457
Cr 0.271 3.468 4.796
O 5.453 3.440 9.801
```

Output
- Calculated total energy: -15.51 eV/atom



First-principles (SCAN) data for a crystal of SrCr2O4 relaxed with PBEsol, as listed in Alexandria via LeMat-Bulk.

```
28
Lattice="-4.779 1.365 -1.263 -2.011 -2.409 5.006 1.435 10.023 5.400" Properties=species:S:1:pos:R:3 pbc="T T T"
O -3.259 6.390 5.253
O -2.379 0.854 2.942
Cr -3.699 8.806 2.752
O -0.806 3.054 2.913
O -0.356 6.199 4.607
Cr 0.067 6.389 6.588
Sr -4.070 -0.330 1.693
Cr -4.396 3.938 0.130
O -4.295 7.775 7.271
Sr -4.863 5.113 3.994
O -1.348 5.010 7.076
O -4.261 2.117 1.027
Sr -0.204 0.058 -0.054
Sr -0.997 5.501 2.247
Cr -3.539 1.381 4.473
O -1.798 1.866 5.382
O -1.331 2.115 0.483
O -3.736 3.057 3.457
Cr -0.671 1.233 3.811
O -5.280 0.896 3.565
Cr -2.821 6.393 7.174
O -2.230 7.520 2.723
O -1.402 7.675 6.617
Cr -1.816 7.597 4.670
Cr -2.534 2.586 1.970
O -2.688 4.317 0.998
O -0.373 8.805 4.088
O -3.276 8.996 4.733
```

Output
- Calculated total energy: -14.78 eV/atom



First-principles (SCAN) data for a crystal of Sr4Cr3O10 relaxed with PBEsol, as listed in Alexandria via LeMat-Bulk.

```
17
Lattice="3.771 0.000 0.000 0.000 3.771 0.000 -1.886 -1.886 13.869" Properties=species:S:1:pos:R:3 pbc="T T T"
Sr 1.886 1.886 5.614
O 0.000 1.886 10.044
Cr 1.886 1.886 10.029
O 0.000 0.000 1.902
O 0.000 0.000 5.773
O 0.000 1.886 0.000
Cr 0.000 0.000 0.000
O 1.886 0.000 3.824
O 0.000 1.886 3.824
O 1.886 0.000 10.044
Sr 0.000 0.000 11.971
O 1.886 0.000 0.000
Cr 0.000 0.000 3.839
O 1.886 1.886 11.967
Sr 0.000 0.000 8.255
O 1.886 1.886 8.096
Sr 1.886 1.886 1.898
```

Output
- Calculated total energy: -14.94 eV/atom



First-principles (SCAN) data for a crystal of SrCrO4 relaxed with PBEsol, as listed in Alexandria via LeMat-Bulk.

```
24
Lattice="7.369 0.000 0.000 0.000 6.686 0.000 0.000 5.077 6.879" Properties=species:S:1:pos:R:3 pbc="T T T"
Sr 4.841 5.645 1.563
O 4.423 1.243 0.163
O 4.872 5.697 4.257
O 6.630 3.782 3.602
Cr 6.156 4.801 4.795
O 2.062 3.780 4.263
Sr 1.157 3.580 1.876
O 1.623 1.241 0.824
Sr 2.527 6.119 5.315
Sr 6.212 8.183 5.003
Cr 4.897 2.262 1.356
O 0.021 5.900 1.673
Cr 1.213 6.963 2.083
O 5.307 7.984 2.616
Cr 2.472 9.502 5.523
O 2.497 6.067 2.622
O 0.739 7.982 3.277
O 3.663 8.439 5.112
O 6.181 3.158 0.817
O 2.946 10.521 6.716
O 1.187 8.605 6.061
O 7.348 5.863 5.206
O 3.705 3.325 1.766
O 5.746 10.522 6.055
```

Output
- Calculated total energy: -13.52 eV/atom



First-principles (SCAN) data for a crystal of SrCr2O7 relaxed with PBEsol, as listed in Alexandria via LeMat-Bulk.

```
80
Lattice="-3.252 -9.034 -0.642 10.268 -3.534 -2.279 1.903 -1.455 10.834" Properties=species:S:1:pos:R:3 pbc="T T T"
O -0.166 -8.617 -1.128
O 2.468 -10.179 6.335
Cr 3.756 -9.980 5.391
O 4.877 -10.353 -2.248
O 8.548 -7.327 7.523
O 4.449 -5.326 1.294
O 4.916 -11.021 5.792
O 3.300 -10.232 3.727
O 8.557 -6.897 1.584
O 7.381 -9.187 -0.076
O 4.788 -8.226 -0.610
Cr -0.645 -7.521 8.757
Cr 4.175 -8.903 -1.929
Cr -0.175 -2.916 3.736
O 3.312 -5.257 4.394
Cr 1.310 -7.917 -1.294
O 0.705 -4.194 3.326
Sr 3.564 -1.868 8.231
O 1.374 -7.428 4.443
O 5.417 -6.066 6.806
O 6.244 -9.339 7.675
O -1.257 -6.863 4.981
O 2.464 -9.182 -1.666
O 7.098 -6.218 -0.728
Cr 4.634 -4.096 0.221
Cr 6.006 -5.145 8.032
Sr 2.043 -6.021 2.258
O 0.946 -2.401 7.984
O -1.159 -3.220 -0.229
O 8.249 -4.199 -2.013
Cr 7.733 -5.752 -2.131
O 4.317 -8.445 5.541
O -0.438 -6.495 1.659
O 7.629 -4.327 2.405
O -2.523 -8.048 1.114
O -0.118 -9.199 5.804
O 9.116 -7.324 4.764
O 3.731 -7.997 2.200
Cr 0.555 -3.281 -0.538
O 3.755 -2.817 0.630
O 1.147 -1.754 -0.437
O 1.646 -9.550 1.655
O 6.687 -11.353 1.645
O 0.011 -1.686 2.662
Cr 0.356 -3.322 6.758
Sr 8.607 -3.122 0.324
O 6.170 -3.649 0.094
Sr 9.755 -3.999 6.857
Cr 7.300 -10.677 2.965
Sr 2.416 -0.990 1.698
O 5.619 -3.791 4.185
O 7.515 -4.677 7.747
O -0.566 -8.856 3.255
O 0.643 -7.322 7.812
O 4.094 -10.393 1.112
O 2.716 -5.319 8.817
Cr 3.904 -3.730 4.495
O 8.462 -10.013 6.077
O -2.093 -5.813 -0.413
O 3.647 -3.148 5.973
Cr 3.183 -9.542 2.131
O 6.598 -9.226 3.283
Sr 6.120 -7.424 1.353
O 7.135 -11.696 4.194
Cr 6.994 -4.794 3.809
O 3.229 -8.302 8.344
O 0.369 -2.346 5.302
Sr 6.876 -8.002 5.655
O -1.207 -9.055 8.607
O 8.083 -4.674 4.988
Sr 2.799 -6.599 6.559
O 5.099 -3.845 8.283
O 1.774 -7.189 0.059
O 1.266 -4.211 0.566
Cr -1.976 -6.503 1.183
O 3.193 -2.801 3.390
O 4.090 -4.665 -1.345
O 1.264 -4.621 6.507
Cr -0.103 -8.128 4.608
O 6.478 -6.347 3.691
```

Output
- Calculated total energy: -12.51 eV/atom



First-principles (SCAN) data for a crystal of Sr3Cr2O8 relaxed with PBEsol, as listed in Alexandria via LeMat-Bulk.

```
13
Lattice="5.516 0.000 0.000 2.758 4.777 0.000 2.758 1.592 6.708" Properties=species:S:1:pos:R:3 pbc="T T T"
O 6.897 3.982 2.054
O 4.135 2.387 4.654
O 5.516 4.780 4.654
Sr 2.758 1.592 2.617
O 6.897 2.387 4.654
O 5.516 1.590 2.054
O 2.758 1.592 0.216
O 8.274 4.777 6.492
Cr 5.516 3.185 1.463
Cr 5.516 3.185 5.245
O 4.135 3.982 2.054
Sr 0.000 0.000 0.000
Sr 8.274 4.777 4.091
```

Output
- Calculated total energy: -14.55 eV/atom



First-principles (SCAN) data for a crystal of Sr2CrWO6 relaxed with PBEsol, as listed in Alexandria via LeMat-Bulk.

```
10
Lattice="5.505 -0.031 -0.045 -2.725 4.784 0.045 -2.725 -1.595 4.510" Properties=species:S:1:pos:R:3 pbc="T T T"
O -1.364 0.798 1.140
W 0.000 0.000 0.000
O -2.725 0.001 3.393
Sr 0.027 3.173 1.139
Sr 0.027 -0.016 3.371
O -4.087 2.391 3.415
Cr -2.725 1.594 2.277
O -2.725 3.188 1.162
O 1.391 0.782 1.117
O -1.336 2.375 3.393
```

Output
- Calculated total energy: -19.83 eV/atom



First-principles (SCAN) data for a crystal of TaCrO4 relaxed with PBEsol, as listed in Alexandria via LeMat-Bulk.

```
24
Lattice="4.389 0.000 0.000 0.000 4.956 0.000 0.000 0.000 11.685" Properties=species:S:1:pos:R:3 pbc="T T T"
O 3.272 2.902 6.517
Cr 2.194 1.239 9.574
Cr 0.000 3.717 7.953
O 3.311 2.902 0.675
Ta 2.194 1.239 6.731
O 3.272 0.424 5.168
O 3.246 0.387 8.081
O 1.143 2.091 8.081
O 3.337 0.387 2.239
O 1.117 4.532 6.517
Cr 0.000 1.239 3.732
O 3.337 2.865 9.446
Ta 2.194 3.717 4.953
O 1.078 4.532 0.675
O 1.117 2.054 5.168
O 1.052 4.569 9.446
Cr 2.194 3.717 2.110
O 1.078 2.054 11.010
O 1.143 4.569 3.603
Ta 0.000 3.717 10.796
O 1.052 2.091 2.239
O 3.246 2.865 3.603
Ta 0.000 1.239 0.889
O 3.311 0.424 11.010
```

Output
- Calculated total energy: -21.10 eV/atom



Number 1: V 428.8 Å³/f.u.. Number 2: V 86.9 Å³/f.u.. Number 3: V 197.2 Å³/f.u.. Number 4: V 84.7 Å³/f.u.. Number 5: V 148.1 Å³/f.u.. Number 6: V 176.8 Å³/f.u.. Number 7: V 118.0 Å³/f.u.. Number 8: V 63.5 Å³/f.u..